Below is a relaxed structure of MnCoRu2, with properties calculated at the PBE level.

Computed properties:
* DOS at the Fermi energy: 3.75 states/eV/f.u.
* V: 13.4 A^3/atom
* formation energy: 279 meV per atom
* theoretical density: 9756 kg/m3
* symmetry: F-43m (216)

abc: 5.992 5.992 5.992
angles: 90.00 90.00 90.00
Sites, in units of the cell vectors:
Mn1 0.000 0.000 0.000
Mn2 0.000 0.500 0.500
Mn3 0.500 0.000 0.500
Mn4 0.500 0.500 0.000
Co1 0.250 0.250 0.250
Co2 0.250 0.750 0.750
Co3 0.750 0.250 0.750
Co4 0.750 0.750 0.250
Ru1 0.000 0.000 0.500
Ru2 0.000 0.500 0.000
Ru3 0.250 0.250 0.750
Ru4 0.250 0.750 0.250
Ru5 0.500 0.000 0.000
Ru6 0.500 0.500 0.500
Ru7 0.750 0.250 0.250
Ru8 0.750 0.750 0.750